! Ce2Y3Er6Th (PBE-GGA, relaxed); values from VASP
&SYSTEM
  ibrav = 0, nat = 12, ntyp = 4
/
ATOMIC_SPECIES
Y 88.91 Y.upf
Er 167.26 Er.upf
Th 232.04 Th.upf
Ce 140.12 Ce.upf
CELL_PARAMETERS angstrom
-3.7264 2.6124 4.0697
3.3169 -4.8734 1.5877
8.6662 7.6601 1.4898
ATOMIC_POSITIONS angstrom
Y 4.1284 2.6995 3.5736
Y 1.7811 5.1943 4.4007
Y 6.4757 0.2048 2.7464
Er 5.0547 5.3195 5.7862
Er 3.2021 0.0795 1.3610
Er 6.4319 5.2107 2.5365
Er 0.8611 2.5675 2.1859
Er 1.8249 0.1883 4.6107
Er 7.3956 2.8315 4.9613
Th 0.0000 0.0000 0.0000
Ce -1.3788 0.1173 3.2424
Ce 0.9693 -2.3784 2.4150
! Final energy: -5.461 eV per atom